Record 1
Computed, not measured: crystalline PtPbF at its relaxed geometry at the PBE level of DFT.

Lattice parameters (Å, degrees): 4.655 4.655 5.484 90.00 90.00 90.00
Space group P4_2/mmc (No. 131)
Symmetry-distinct sites (fractional):
Pt 0.000 0.000 0.250 (multiplicity 2)
Pb 0.000 0.500 0.000 (multiplicity 2)
F 0.500 0.500 0.250 (multiplicity 2)

Properties
Its total energy is -4.795 eV/atom. Its volume is 118.8 Å³ per cell. Its energy above the most stable polymorph in this dataset is 101 meV/atom.

Record 2
Computed, not measured: crystalline SmPbF6 at its relaxed geometry at the PBE level of DFT.

Lattice parameters (Å, degrees): 5.1916 5.1916 15.1101 90.00 90.00 120.00
Space group R-3 (No. 148, hexagonal axes)
Symmetry-distinct sites (fractional):
Sm 0.0000 0.0000 0.0000 (multiplicity 3)
Pb 0.0000 0.0000 0.5000 (multiplicity 3)
F 0.0018 0.3003 0.2504 (multiplicity 18)

Properties
Its total energy is -5.331 eV/atom. Its volume is 352.7 Å³ per cell.

Record 3
Computed, not measured: crystalline SmPbF2 at its relaxed geometry at the PBE level of DFT.

Lattice parameters (Å, degrees): 3.102 4.033 5.792 90.00 90.00 90.00
Space group Pmmm (No. 47)
Symmetry-distinct sites (fractional):
Sm 0.000 0.000 0.000 (multiplicity 1)
Pb 0.500 0.000 0.500 (multiplicity 1)
F 0.000 0.500 0.500 (multiplicity 1)
F 0.500 0.500 0.000 (multiplicity 1)

Properties
Its total energy is -5.025 eV/atom. Its volume is 72.4 Å³ per cell.

Record 4
Computed, not measured: crystalline TaPbF6 at its relaxed geometry at the PBE level of DFT.

Lattice parameters (Å, degrees): 5.2226 5.2226 13.6815 90.00 90.00 120.00
Space group R-3 (No. 148, hexagonal axes)
Symmetry-distinct sites (fractional):
Ta 0.0000 0.0000 0.0000 (multiplicity 3)
Pb 0.0000 0.0000 0.5000 (multiplicity 3)
F 0.0207 0.6159 0.4075 (multiplicity 18)

Properties
Its total energy is -5.961 eV/atom. Its volume is 323.2 Å³ per cell.

Record 5
Computed, not measured: crystalline TcPbF6 at its relaxed geometry at the PBE level of DFT.

Lattice parameters (Å, degrees): 6.310 6.906 4.886 90.00 103.51 90.00
Space group C2/m (No. 12)
Symmetry-distinct sites (fractional):
Tc 0.000 0.000 0.000 (multiplicity 2)
Pb 0.000 0.500 0.500 (multiplicity 2)
F 0.106 0.187 0.298 (multiplicity 8)
F 0.204 0.500 0.051 (multiplicity 4)

Properties
Its total energy is -5.343 eV/atom. Its volume is 207.0 Å³ per cell.

Record 6
Computed, not measured: crystalline ThPb3F at its relaxed geometry at the PBE level of DFT.

Lattice parameters (Å, degrees): 5.041 5.041 5.041 90.00 90.00 90.00
Space group Pm-3m (No. 221)
Symmetry-distinct sites (fractional):
Th 0.000 0.000 0.000 (multiplicity 1)
Pb 0.000 0.500 0.500 (multiplicity 3)
F 0.500 0.500 0.500 (multiplicity 1)

Properties
Its total energy is -4.732 eV/atom. Its volume is 128.1 Å³ per cell.

Record 7
Computed, not measured: crystalline ZrTlPbF7 at its relaxed geometry at the PBE level of DFT.

Lattice parameters (Å, degrees): 6.569 8.622 6.585 90.00 114.71 90.00
Space group P2_1/m (No. 11)
Symmetry-distinct sites (fractional):
Zr 0.204 0.250 0.287 (multiplicity 2)
Tl 0.500 0.000 0.000 (multiplicity 2)
Pb 0.188 0.750 0.320 (multiplicity 2)
F 0.021 0.250 0.469 (multiplicity 2)
F 0.140 0.750 0.931 (multiplicity 2)
F 0.194 0.250 0.960 (multiplicity 2)
F 0.226 0.018 0.264 (multiplicity 4)
F 0.422 0.250 0.630 (multiplicity 2)
F 0.468 0.750 0.702 (multiplicity 2)

Properties
Its total energy is -5.675 eV/atom. Its volume is 338.8 Å³ per cell. Its energy above the most stable polymorph in this dataset is 0 meV/atom.

Record 8
Computed, not measured: crystalline ZrTlPbF7 at its relaxed geometry at the PBE level of DFT.

Lattice parameters (Å, degrees): 7.045 11.066 8.591 90.00 90.00 90.00
Space group Cmcm (No. 63)
Symmetry-distinct sites (fractional):
Zr 0.000 0.208 0.250 (multiplicity 4)
Tl 0.000 0.500 0.000 (multiplicity 4)
Pb 0.000 0.183 0.750 (multiplicity 4)
F 0.000 0.026 0.250 (multiplicity 4)
F 0.000 0.233 0.018 (multiplicity 8)
F 0.169 0.368 0.250 (multiplicity 8)
F 0.218 0.355 0.750 (multiplicity 8)

Properties
Its total energy is -5.664 eV/atom. Its volume is 669.8 Å³ per cell. Its energy above the most stable polymorph in this dataset is 10 meV/atom.

Record 9
Computed, not measured: crystalline ZnPbF6 at its relaxed geometry at the PBE level of DFT.

Lattice parameters (Å, degrees): 4.868 4.889 5.383 63.76 63.41 60.55
Space group P-1 (No. 2)
Symmetry-distinct sites (fractional):
Zn 0.000 0.000 0.000 (multiplicity 1)
Pb 0.500 0.500 0.500 (multiplicity 1)
F 0.057 0.758 0.754 (multiplicity 2)
F 0.241 0.573 0.242 (multiplicity 2)
F 0.428 0.060 0.754 (multiplicity 2)

Properties
Its total energy is -4.015 eV/atom. Its volume is 95.6 Å³ per cell.

Record 10
Computed, not measured: crystalline ZrPb3F10 at its relaxed geometry at the PBE level of DFT.

Lattice parameters (Å, degrees): 10.508 12.624 5.870 90.00 90.00 90.00
Space group Cmcm (No. 63)
Symmetry-distinct sites (fractional):
Zr 0.000 0.181 0.250 (multiplicity 4)
Pb 0.000 0.389 0.750 (multiplicity 4)
Pb 0.216 0.108 0.750 (multiplicity 8)
F 0.000 0.097 0.548 (multiplicity 8)
F 0.123 0.273 0.032 (multiplicity 16)
F 0.135 0.500 0.000 (multiplicity 8)
F 0.172 0.091 0.250 (multiplicity 8)

Properties
Its total energy is -5.579 eV/atom. Its volume is 778.7 Å³ per cell.

Record 11
Computed, not measured: crystalline Pd5F at its relaxed geometry at the PBE level of DFT.

Lattice parameters (Å, degrees): 5.1255 5.1255 4.5071 90.00 90.00 120.00
Space group P6/mmm (No. 191)
Symmetry-distinct sites (fractional):
Pd 0.0000 0.5000 0.0000 (multiplicity 3)
Pd 0.3333 0.6667 0.5000 (multiplicity 2)
F 0.0000 0.0000 0.5000 (multiplicity 1)

Properties
Its total energy is -4.359 eV/atom. Its volume is 102.5 Å³ per cell.

Record 12
Computed, not measured: crystalline Pd2F at its relaxed geometry at the PBE level of DFT.

Lattice parameters (Å, degrees): 5.625 5.625 5.625 90.00 90.00 90.00
Space group Fm-3m (No. 225)
Symmetry-distinct sites (fractional):
Pd 0.250 0.250 0.250 (multiplicity 8)
F 0.000 0.000 0.000 (multiplicity 4)

Properties
Its total energy is -3.878 eV/atom. Its volume is 177.9 Å³ per cell. Its energy above the most stable polymorph in this dataset is 0 meV/atom.

Record 13
Computed, not measured: crystalline Pd2F at its relaxed geometry at the PBE level of DFT.

Lattice parameters (Å, degrees): 7.249 7.249 7.249 90.00 90.00 90.00
Space group Fd-3m (No. 227, origin choice 2)
Symmetry-distinct sites (fractional):
Pd 0.000 0.000 0.000 (multiplicity 16)
F 0.125 0.125 0.625 (multiplicity 8)

Properties
Its total energy is -3.809 eV/atom. Its volume is 381.0 Å³ per cell. Its energy above the most stable polymorph in this dataset is 69 meV/atom.

Record 14
Computed, not measured: crystalline Pd3F2 at its relaxed geometry at the PBE level of DFT.

Lattice parameters (Å, degrees): 6.7091 6.7091 10.1673 90.00 90.00 120.00
Space group R-3c (No. 167, hexagonal axes)
Symmetry-distinct sites (fractional):
Pd 0.0000 0.3396 0.2500 (multiplicity 18)
F 0.0000 0.0000 0.1270 (multiplicity 12)

Properties
Its total energy is -3.964 eV/atom. Its volume is 396.3 Å³ per cell.

Record 15
Computed, not measured: crystalline PuPdF6 at its relaxed geometry at the PBE level of DFT.

Lattice parameters (Å, degrees): 5.005 5.025 5.626 64.04 63.78 60.25
Space group P-1 (No. 2)
Symmetry-distinct sites (fractional):
Pu 0.000 0.000 0.000 (multiplicity 1)
Pd 0.500 0.500 0.500 (multiplicity 1)
F 0.056 0.747 0.747 (multiplicity 2)
F 0.255 0.554 0.249 (multiplicity 2)
F 0.447 0.061 0.746 (multiplicity 2)

Properties
Its total energy is -6.301 eV/atom. Its volume is 105.8 Å³ per cell.

Record 16
Computed, not measured: crystalline Rb2PdF4 at its relaxed geometry at the PBE level of DFT.

Lattice parameters (Å, degrees): 6.124 6.124 3.600 90.00 90.00 90.00
Space group P4/mmm (No. 123)
Symmetry-distinct sites (fractional):
Rb 0.000 0.500 0.000 (multiplicity 2)
Pd 0.000 0.000 0.500 (multiplicity 1)
F 0.230 0.230 0.500 (multiplicity 4)

Properties
Its total energy is -4.223 eV/atom. Its volume is 135.0 Å³ per cell. Its energy above the most stable polymorph in this dataset is 0 meV/atom.

Record 17
Computed, not measured: crystalline Rb2PdF4 at its relaxed geometry at the PBE level of DFT.

Lattice parameters (Å, degrees): 5.556 5.556 8.439 90.00 90.00 90.00
Space group P4_2/mnm (No. 136)
Symmetry-distinct sites (fractional):
Rb 0.000 0.500 0.250 (multiplicity 4)
Pd 0.000 0.000 0.000 (multiplicity 2)
F 0.000 0.000 0.235 (multiplicity 4)
F 0.248 0.248 0.500 (multiplicity 4)

Properties
Its total energy is -4.182 eV/atom. Its volume is 260.5 Å³ per cell. Its energy above the most stable polymorph in this dataset is 41 meV/atom.

Record 18
Computed, not measured: crystalline Rb2PdF4 at its relaxed geometry at the PBE level of DFT.

Lattice parameters (Å, degrees): 9.412 6.058 4.211 90.00 93.08 90.00
Space group C2/m (No. 12)
Symmetry-distinct sites (fractional):
Rb 0.155 0.000 0.290 (multiplicity 4)
Pd 0.000 0.500 0.000 (multiplicity 2)
F 0.103 0.266 0.776 (multiplicity 8)

Properties
Its total energy is -4.174 eV/atom. Its volume is 239.8 Å³ per cell. Its energy above the most stable polymorph in this dataset is 49 meV/atom.

Record 19
Computed, not measured: crystalline ScPd3F at its relaxed geometry at the PBE level of DFT.

Lattice parameters (Å, degrees): 4.347 6.148 6.151 90.00 90.00 90.00
Space group Amm2 (No. 38)
Symmetry-distinct sites (fractional):
Sc 0.000 0.000 0.000 (multiplicity 2)
Pd 0.000 0.000 0.501 (multiplicity 2)
Pd 0.500 0.248 0.750 (multiplicity 4)
F 0.500 0.000 0.498 (multiplicity 2)

Properties
Its total energy is -5.059 eV/atom. Its volume is 164.4 Å³ per cell.

Record 20
Computed, not measured: crystalline Pd2Se3F4 at its relaxed geometry at the PBE level of DFT.

Lattice parameters (Å, degrees): 6.413 3.592 6.414 90.00 119.94 90.00
Space group Pm (No. 6)
Symmetry-distinct sites (fractional):
Pd 0.000 0.000 0.000 (multiplicity 1)
Pd 0.333 0.500 0.666 (multiplicity 1)
Se 0.041 0.000 0.423 (multiplicity 1)
Se 0.383 0.000 0.959 (multiplicity 1)
Se 0.576 0.000 0.617 (multiplicity 1)
F 0.244 0.500 0.223 (multiplicity 1)
F 0.667 0.500 0.333 (multiplicity 1)
F 0.776 0.500 0.021 (multiplicity 1)
F 0.979 0.500 0.756 (multiplicity 1)

Properties
Its total energy is -3.556 eV/atom. Its volume is 128.0 Å³ per cell.